A plane-wave DFT calculation with PBE-GGA was carried out for a relaxed LiAc3Rh crystal.

size of the total moment: 0.00 μB per formula unit
ΔE to the lowest computed polymorph: 46 meV/atom

a = 5.851 Å, b = 5.851 Å, c = 5.851 Å
α = 90.00°, β = 90.00°, γ = 90.00°
Atoms (fractional coordinates):
Ac 0.000 0.500 0.000
Ac 0.000 0.000 0.500
Ac 0.500 0.000 0.000
Rh 0.000 0.000 0.000
Li 0.500 0.500 0.500